YPN2O | PBE-GGA | relaxed

Cell lengths 3.5931, 3.5931, 3.7372 Å; angles 90.00, 90.00, 90.00 degrees
Fractional positions:
N 0.0000 0.5000 0.0000
N 0.5000 0.0000 0.0000
Y 0.5000 0.5000 0.5000
P 0.0000 0.0000 0.0000
O 0.0000 0.0000 0.5000

Output
The total energy comes out at -7.699 eV/atom. The calculation puts the volume at 48.2 Å³/f.u.



YPN2O | PBE-GGA | relaxed

Cell lengths 4.6500, 4.6500, 4.2285 Å; angles 90.00, 90.00, 90.00 degrees
Fractional positions:
Y 0.0000 0.0000 0.0000
N 0.5000 0.0000 0.0000
N 0.0000 0.5000 0.0000
P 0.5000 0.5000 0.5000
O 0.0000 0.0000 0.5000

Output
The total energy comes out at -5.757 eV/atom. The calculation puts the volume at 91.4 Å³/f.u.



ZnPN2O | PBE-GGA | relaxed

Cell lengths 3.3082, 3.3082, 4.2255 Å; angles 90.00, 90.00, 90.00 degrees
Fractional positions:
O 0.0000 0.0000 0.5000
Zn 0.5000 0.5000 0.5000
N 0.0000 0.5000 0.0000
N 0.5000 0.0000 0.0000
P 0.0000 0.0000 0.0000

Output
The total energy comes out at -5.341 eV/atom. The calculation puts the volume at 46.2 Å³/f.u.



ZnPNO2 | PBE-GGA | relaxed

Cell lengths 3.5412, 3.5412, 6.6779 Å; angles 90.00, 90.00, 90.00 degrees
Fractional positions:
Zn 0.0000 0.0000 0.0000
O 0.0000 0.5000 0.0000
O 0.5000 0.0000 0.0000
N 0.5000 0.5000 0.5000
P 0.0000 0.0000 0.5000

Output
The total energy comes out at -3.841 eV/atom. The calculation puts the volume at 83.7 Å³/f.u.



ZnPN2O | PBE-GGA | relaxed

Cell lengths 3.9288, 3.9288, 3.7686 Å; angles 90.00, 90.00, 90.00 degrees
Fractional positions:
P 0.5000 0.5000 0.5000
Zn 0.0000 0.0000 0.0000
O 0.0000 0.0000 0.5000
N 0.5000 0.0000 0.0000
N 0.0000 0.5000 0.0000

Output
The total energy comes out at -4.001 eV/atom. The calculation puts the volume at 58.2 Å³/f.u.



ZnPNO2 | PBE-GGA | relaxed

Cell lengths 3.7545, 3.7545, 3.9618 Å; angles 90.00, 90.00, 90.00 degrees
Fractional positions:
Zn 0.0000 0.0000 0.0000
N 0.0000 0.0000 0.5000
O 0.0000 0.5000 0.0000
O 0.5000 0.0000 0.0000
P 0.5000 0.5000 0.5000

Output
The total energy comes out at -4.038 eV/atom. The calculation puts the volume at 55.8 Å³/f.u.



ZnPNO2 | PBE-GGA | relaxed

Cell lengths 3.3254, 3.3254, 3.9374 Å; angles 90.00, 90.00, 90.00 degrees
Fractional positions:
O 0.0000 0.5000 0.0000
O 0.5000 0.0000 0.0000
N 0.0000 0.0000 0.5000
Zn 0.5000 0.5000 0.5000
P 0.0000 0.0000 0.0000

Output
The total energy comes out at -5.369 eV/atom. The calculation puts the volume at 43.5 Å³/f.u.



ZnPNO2 | PBE-GGA | relaxed

Cell lengths 4.0949, 4.0949, 3.3587 Å; angles 90.00, 90.00, 90.00 degrees
Fractional positions:
N 0.0000 0.0000 0.0000
Zn 0.5000 0.5000 0.5000
O 0.0000 0.5000 0.0000
O 0.5000 0.0000 0.0000
P 0.0000 0.0000 0.5000

Output
The total energy comes out at -4.013 eV/atom. The calculation puts the volume at 56.3 Å³/f.u.



For each record above, in turn, the calculated D(E_F) values are 1.3, 3.1, 1.5, 1.4, 2.5, 3.1, 0.3, 2.1 states/eV per cell.